Material: Ce8C3Br4F
Method: DFT, GGA-PBE
State: optimized geometry

The structure in POSCAR format:
```
Ce8C3Br4F
1.0
7.429 0.000 0.000
0.000 8.548 0.791
-3.715 -3.708 5.251
Br Ce C F
4 8 3 1
direct
0.000 0.000 0.500
0.500 0.000 0.500
0.000 0.000 0.000
0.500 0.000 0.000
0.283 0.313 0.048
0.235 0.687 0.952
0.729 0.687 0.458
0.235 0.687 0.470
0.765 0.313 0.530
0.717 0.687 0.952
0.271 0.313 0.542
0.765 0.313 0.048
0.500 0.500 0.000
0.000 0.500 0.500
0.500 0.500 0.500
0.000 0.500 0.000
```

Output
Magnetic moment, μB per formula unit: 6.337
V, Å³/cell: 355.3
VASP energy, hartree per atom: -0.231
Uncorrected formation energy, eV/atom: -1.060
SG: R-3m (166)

Material: Ce6GeC2Br3
Method: DFT, GGA-PBE
State: optimized geometry

The structure in POSCAR format:
```
Ce6GeC2Br3
1.0
-0.104 2.719 -2.733
5.907 -4.453 -4.653
-8.604 -3.961 -0.894
Br Ge Ce C
3 1 6 2
direct
0.500 0.500 0.000
0.840 0.166 0.680
0.160 0.834 0.320
0.500 0.000 0.000
0.669 0.145 0.338
0.318 0.449 0.635
0.029 0.258 0.058
0.331 0.855 0.662
0.971 0.742 0.942
0.682 0.551 0.365
0.827 0.658 0.654
0.173 0.342 0.346
```

Output
Magnetic moment, μB per formula unit: 4.705
V, Å³/cell: 293.4
VASP energy, hartree per atom: -0.227
Uncorrected formation energy, eV/atom: -0.857
SG: C2/m (12)

| no. | calculated density (g/cm³) |
| --- | --- |
| 1 | 6.99 |
| 2 | 6.66 |